(1)
La2In3Au6 | PBE-GGA | optimized geometry

Values from the calculation:
As for the space group: Cmmm (65). The total magnetization comes out at 0.000 μB/f.u. Its total energy is -3.925 eV/atom. The value obtained for the density of states at the Fermi level is 0.373 states/eV per atom. The calculation puts the energy of formation at -0.49 eV/atom.

abc: 8.1858 8.1858 4.1727
angles: 90.00 90.00 105.35
With the nearest neighbours (Å) after each atom.
Fractional coordinates of all 11 atoms:
La 0.1993 0.1993 0.0000  8 Au 3.11-3.23
La 0.8007 0.8007 0.0000  8 Au 3.11-3.23
In 0.2697 0.7303 0.0000  6 Au 2.91-2.98
In 0.5000 0.5000 0.5000  4 Au 2.79
In 0.7303 0.2697 0.0000  6 Au 2.91-2.98
Au 0.1137 0.8863 0.5000  2 In 2.91, 3 Au 2.96-3.11, 4 La 3.23
Au 0.1512 0.4647 0.5000  1 Au 2.69, 3 In 2.79-2.98
Au 0.4647 0.1512 0.5000  1 Au 2.69, 3 In 2.79-2.98
Au 0.5353 0.8488 0.5000  1 Au 2.69, 3 In 2.79-2.98
Au 0.8488 0.5353 0.5000  1 Au 2.69, 3 In 2.79-2.98
Au 0.8863 0.1137 0.5000  2 In 2.91, 3 Au 2.96-3.11, 4 La 3.23


(2)
La2In5Au3 | PBE-GGA | optimized geometry

Values from the calculation:
As for the space group: Cmc2_1 (36). The total magnetization comes out at 0.000 μB/f.u. Its total energy is -3.907 eV/atom. The value obtained for the density of states at the Fermi level is 0.424 states/eV per atom. The calculation puts the energy of formation at -0.57 eV/atom. Its distance to the lowest polymorph of the same formula is 0 meV per atom.

abc: 13.8224 13.8224 7.5828
angles: 90.00 90.00 160.21
With the nearest neighbours (Å) after each atom.
Fractional coordinates of all 20 atoms:
La 0.0189 0.9811 0.5000  5 Au 3.13-3.39, 4 In 3.34-3.47
La 0.3266 0.6734 0.4640  4 Au 3.35-3.63, 9 In 3.39-3.62
La 0.6734 0.3266 0.9640  4 Au 3.35-3.63, 9 In 3.39-3.62
La 0.9811 0.0189 0.0000  5 Au 3.13-3.39, 4 In 3.34-3.47
In 0.1012 0.8988 0.1512  3 Au 2.82-2.95, 1 In 3.01
In 0.2063 0.7937 0.6659  4 Au 2.79-2.90, 1 In 3.09
In 0.2075 0.7925 0.2580  3 Au 2.87-2.89, 2 In 3.01-3.09
In 0.3786 0.6214 0.9904  4 Au 2.86-3.17, 1 In 3.16
In 0.4480 0.5520 0.3240  4 Au 2.85-2.94, 1 In 3.16
In 0.5520 0.4480 0.8240  4 Au 2.85-2.94, 1 In 3.16
In 0.6214 0.3786 0.4904  4 Au 2.86-3.17, 1 In 3.16
In 0.7925 0.2075 0.7580  3 Au 2.87-2.89, 2 In 3.01-3.09
In 0.7937 0.2063 0.1659  4 Au 2.79-2.90, 1 In 3.09
In 0.8988 0.1012 0.6512  3 Au 2.82-2.95, 1 In 3.01
Au 0.1073 0.8927 0.7630  4 In 2.79-2.95, 1 La 3.13
Au 0.2740 0.7260 0.9611  7 In 2.86-2.90
Au 0.4522 0.5478 0.7110  5 In 2.82-2.94
Au 0.5478 0.4522 0.2110  5 In 2.82-2.94
Au 0.7260 0.2740 0.4611  7 In 2.86-2.90
Au 0.8927 0.1073 0.2630  4 In 2.79-2.95, 1 La 3.13


(3)
La3InAu | PBE-GGA | optimized geometry

Values from the calculation:
As for the space group: Pm-3m (221). The total magnetization comes out at 0.000 μB/f.u. Its total energy is -4.323 eV/atom. The value obtained for the density of states at the Fermi level is 2.456 states/eV per atom. The calculation puts the energy of formation at -0.16 eV/atom. Its distance to the lowest polymorph of the same formula is 286 meV per atom.

abc: 5.7752 5.7752 5.7752
angles: 90.00 90.00 90.00
With the nearest neighbours (Å) after each atom.
Fractional coordinates of all 5 atoms:
La 0.0000 0.0000 0.5000  2 Au 2.89
La 0.0000 0.5000 0.0000  2 Au 2.89
La 0.5000 0.0000 0.0000  2 Au 2.89
In 0.5000 0.5000 0.5000  12 La 4.08
Au 0.0000 0.0000 0.0000  6 La 2.89


(4)
LaInAu2 | PBE-GGA | optimized geometry

Values from the calculation:
As for the space group: P4/mmm (123). The total magnetization comes out at 0.000 μB/f.u. Its total energy is -4.117 eV/atom. The value obtained for the density of states at the Fermi level is 0.443 states/eV per atom. The calculation puts the energy of formation at -0.56 eV/atom.

abc: 4.9990 4.9990 3.8878
angles: 90.00 90.00 90.00
With the nearest neighbours (Å) after each atom.
Fractional coordinates of all 4 atoms:
La 0.0000 0.0000 0.0000  8 Au 3.17, 4 In 3.53
In 0.5000 0.5000 0.0000  8 Au 3.17, 4 La 3.53
Au 0.0000 0.5000 0.5000  4 In 3.17, 4 La 3.17, 4 Au 3.53
Au 0.5000 0.0000 0.5000  4 In 3.17, 4 La 3.17, 4 Au 3.53


(5)
La3InAu2 | PBE-GGA | optimized geometry

Values from the calculation:
As for the space group: P4/mmm (123). The total magnetization comes out at 0.000 μB/f.u. Its total energy is -4.703 eV/atom. The value obtained for the density of states at the Fermi level is 0.829 states/eV per atom. The calculation puts the energy of formation at -0.69 eV/atom.

abc: 3.7738 3.7738 11.9133
angles: 90.00 90.00 90.00
With the nearest neighbours (Å) after each atom.
Fractional coordinates of all 6 atoms:
La 0.0000 0.0000 0.0000  8 Au 3.28
La 0.0000 0.0000 0.3178  4 Au 3.26, 4 In 3.44
La 0.0000 0.0000 0.6822  4 Au 3.26, 4 In 3.44
In 0.5000 0.5000 0.5000  8 La 3.44, 4 In 3.77
Au 0.5000 0.5000 0.1599  8 La 3.26-3.28
Au 0.5000 0.5000 0.8401  8 La 3.26-3.28


(6)
LaIn12Au4 | PBE-GGA | optimized geometry

Values from the calculation:
As for the space group: Im-3 (204). The total magnetization comes out at 0.000 μB/f.u. Its total energy is -3.132 eV/atom. The value obtained for the density of states at the Fermi level is 0.493 states/eV per atom. The calculation puts the energy of formation at -0.14 eV/atom.

abc: 8.4444 8.4444 8.4444
angles: 109.47 109.47 109.47
With the nearest neighbours (Å) after each atom.
Fractional coordinates of all 17 atoms:
La 0.0000 0.0000 0.0000  12 In 3.69
In 0.1545 0.3453 0.4998  2 Au 2.77, 2 In 3.01-3.02
In 0.1545 0.6547 0.8093  2 Au 2.77, 2 In 3.01-3.02
In 0.1907 0.8455 0.3453  2 Au 2.77, 2 In 3.01-3.02
In 0.3453 0.1907 0.8455  2 Au 2.77, 2 In 3.01-3.02
In 0.3453 0.4998 0.1545  2 Au 2.77, 2 In 3.01-3.02
In 0.4998 0.1545 0.3453  2 Au 2.77, 2 In 3.01-3.02
In 0.5002 0.8455 0.6547  2 Au 2.77, 2 In 3.01-3.02
In 0.6547 0.5002 0.8455  2 Au 2.77, 2 In 3.01-3.02
In 0.6547 0.8093 0.1545  2 Au 2.77, 2 In 3.01-3.02
In 0.8093 0.1545 0.6547  2 Au 2.77, 2 In 3.01-3.02
In 0.8455 0.3453 0.1907  2 Au 2.77, 2 In 3.01-3.02
In 0.8455 0.6547 0.5002  2 Au 2.77, 2 In 3.01-3.02
Au 0.0000 0.0000 0.5000  6 In 2.77
Au 0.0000 0.5000 0.0000  6 In 2.77
Au 0.5000 0.0000 0.0000  6 In 2.77
Au 0.5000 0.5000 0.5000  6 In 2.77


(7)
LaIn4Au3 | PBE-GGA | optimized geometry

Values from the calculation:
As for the space group: P4/mmm (123). The total magnetization comes out at 0.000 μB/f.u. Its total energy is -3.662 eV/atom. The value obtained for the density of states at the Fermi level is 0.322 states/eV per atom. The calculation puts the energy of formation at -0.45 eV/atom.

abc: 4.5517 4.5517 9.4601
angles: 90.00 90.00 90.00
With the nearest neighbours (Å) after each atom.
Fractional coordinates of all 8 atoms:
La 0.0000 0.0000 0.0000  8 Au 3.49, 8 In 3.78
In 0.0000 0.5000 0.3192  4 Au 2.83-2.85
In 0.0000 0.5000 0.6808  4 Au 2.83-2.85
In 0.5000 0.0000 0.3192  4 Au 2.83-2.85
In 0.5000 0.0000 0.6808  4 Au 2.83-2.85
Au 0.0000 0.0000 0.5000  8 In 2.85
Au 0.5000 0.5000 0.1421  1 Au 2.69, 4 In 2.83
Au 0.5000 0.5000 0.8579  1 Au 2.69, 4 In 2.83


(8)
La4InAu2 | PBE-GGA | optimized geometry

Values from the calculation:
As for the space group: R-3m (166). The total magnetization comes out at 0.000 μB/f.u. Its total energy is -4.609 eV/atom. The value obtained for the density of states at the Fermi level is 1.229 states/eV per atom. The calculation puts the energy of formation at -0.47 eV/atom.

abc: 9.9662 9.9662 9.9662
angles: 30.58 30.58 30.58
With the nearest neighbours (Å) after each atom.
Fractional coordinates of all 7 atoms:
La 0.1200 0.1200 0.1200  3 In 3.31, 3 Au 3.43
La 0.2901 0.2901 0.2901  4 Au 3.04-3.09
La 0.7099 0.7099 0.7099  4 Au 3.04-3.09
La 0.8800 0.8800 0.8800  3 In 3.31, 3 Au 3.43
In 0.5000 0.5000 0.5000  2 Au 2.94
Au 0.3968 0.3968 0.3968  1 In 2.94, 4 La 3.04-3.09
Au 0.6032 0.6032 0.6032  1 In 2.94, 4 La 3.04-3.09